Entry 1:
# Pm2PrPu

A relaxed structure of Pm2PrPu (PBE-GGA, Alexandria).

Lattice parameters (Å, degrees): 5.087 5.087 5.095 90.00 90.00 90.00
Space group P4/mmm (No. 123)
Symmetry-distinct sites (fractional):
Pm: 0.000 0.500 0.000 (multiplicity 2)
Pr: 0.000 0.000 0.500 (multiplicity 1)
Pu: 0.500 0.500 0.500 (multiplicity 1)

Values from the calculation:
The value obtained for the relative energy among the computed polymorphs is 39 meV/atom. Its energy relative to the elements is 0.155 eV per atom.


Entry 2:
# TmTi2Ir3

A relaxed structure of TmTi2Ir3 (PBE-GGA, Alexandria).

Lattice parameters (Å, degrees): 3.054 3.054 10.586 90.00 90.00 90.00
Space group P4/mmm (No. 123)
Symmetry-distinct sites (fractional):
Tm: 0.000 0.000 0.000 (multiplicity 1)
Ti: 0.000 0.000 0.342 (multiplicity 2)
Ir: 0.500 0.500 0.201 (multiplicity 2)
Ir: 0.500 0.500 0.500 (multiplicity 1)

Values from the calculation:
Its energy relative to the elements is -0.854 eV per atom.


Entry 3:
# CrGe2Os2

A relaxed structure of CrGe2Os2 (PBE-GGA, Alexandria).

Lattice parameters (Å, degrees): 7.132 7.132 2.863 90.00 90.00 90.00
Space group P4/mbm (No. 127)
Symmetry-distinct sites (fractional):
Cr: 0.000 0.000 0.000 (multiplicity 2)
Ge: 0.148 0.352 0.000 (multiplicity 4)
Os: 0.153 0.653 0.500 (multiplicity 4)

Values from the calculation:
The value obtained for the relative energy among the computed polymorphs is 0 meV/atom. Its energy relative to the elements is 0.437 eV per atom.


Entry 4:
# ErAgS

A relaxed structure of ErAgS (PBE-GGA, Alexandria).

Lattice parameters (Å, degrees): 21.005 3.734 7.262 90.00 91.62 90.00
Space group C2/m (No. 12)
Symmetry-distinct sites (fractional):
Er: 0.089 0.000 0.101 (multiplicity 4)
Er: 0.132 0.000 0.614 (multiplicity 4)
Ag: 0.205 0.500 0.904 (multiplicity 4)
Ag: 0.229 0.500 0.346 (multiplicity 4)
S: 0.029 0.000 0.787 (multiplicity 4)
S: 0.106 0.500 0.363 (multiplicity 4)

Values from the calculation:
The uncorrected energy is -4.824 eV per atom.


Entry 5:
# La3ThMg4

A relaxed structure of La3ThMg4 (PBE-GGA, Alexandria).

Lattice parameters (Å, degrees): 3.909 5.556 11.128 90.00 90.00 90.00
Space group Pmmm (No. 47)
Symmetry-distinct sites (fractional):
La: 0.000 0.000 0.000 (multiplicity 1)
La: 0.000 0.500 0.254 (multiplicity 2)
Th: 0.000 0.000 0.500 (multiplicity 1)
Mg: 0.500 0.000 0.253 (multiplicity 2)
Mg: 0.500 0.500 0.000 (multiplicity 1)
Mg: 0.500 0.500 0.500 (multiplicity 1)

Values from the calculation:
Its energy relative to the elements is -0.062 eV per atom.


Entry 6:
# Nd5Sm4Tl2

A relaxed structure of Nd5Sm4Tl2 (PBE-GGA, Alexandria).

Lattice parameters (Å, degrees): 8.954 3.640 11.360 90.00 93.92 90.00
Space group P2/m (No. 10)
Symmetry-distinct sites (fractional):
Nd: 0.000 0.000 0.000 (multiplicity 1)
Nd: 0.043 0.000 0.332 (multiplicity 2)
Nd: 0.298 0.000 0.831 (multiplicity 2)
Sm: 0.280 0.500 0.552 (multiplicity 2)
Sm: 0.349 0.500 0.106 (multiplicity 2)
Tl: 0.416 0.000 0.343 (multiplicity 2)

Values from the calculation:
Its energy relative to the elements is -0.028 eV per atom.


Entry 7:
# BeRe2Pb

A relaxed structure of BeRe2Pb (PBE-GGA, Alexandria).

Lattice parameters (Å, degrees): 3.872 3.872 4.280 90.00 90.00 90.00
Space group P4/mmm (No. 123)
Symmetry-distinct sites (fractional):
Be: 0.000 0.000 0.000 (multiplicity 1)
Re: 0.000 0.500 0.500 (multiplicity 2)
Pb: 0.500 0.500 0.000 (multiplicity 1)

Values from the calculation:
The value obtained for the relative energy among the computed polymorphs is 713 meV/atom. Its energy relative to the elements is 1.038 eV per atom.


Entry 8:
# PrEuSb

A relaxed structure of PrEuSb (PBE-GGA, Alexandria).

Lattice parameters (Å, degrees): 5.1159 5.1159 4.3884 90.00 90.00 120.00
Space group P3m1 (No. 156)
Symmetry-distinct sites (fractional):
Pr: 0.0000 0.0000 0.0000 (multiplicity 1)
Eu: 0.6667 0.3333 0.5662 (multiplicity 1)
Sb: 0.3333 0.6667 0.2843 (multiplicity 1)

Values from the calculation:
The value obtained for the relative energy among the computed polymorphs is 157 meV/atom.


Entry 9:
# La3TlRu

A relaxed structure of La3TlRu (PBE-GGA, Alexandria).

Lattice parameters (Å, degrees): 3.980 7.113 11.438 90.00 90.00 90.00
Space group Amm2 (No. 38)
Symmetry-distinct sites (fractional):
La: 0.000 0.000 0.000 (multiplicity 2)
La: 0.500 0.238 0.741 (multiplicity 4)
Tl: 0.500 0.000 0.481 (multiplicity 2)
Ru: 0.000 0.000 0.260 (multiplicity 2)

Values from the calculation:
The value obtained for the relative energy among the computed polymorphs is 215 meV/atom. Its energy relative to the elements is -0.174 eV per atom.


Entry 10:
# Al2Cd3Si3O12

A relaxed structure of Al2Cd3Si3O12 (PBE-GGA, Alexandria).

Lattice parameters (Å, degrees): 11.973 11.973 11.973 90.00 90.00 90.00
Space group Ia-3d (No. 230)
Symmetry-distinct sites (fractional):
Al: 0.000 0.000 0.000 (multiplicity 16)
Cd: 0.000 0.250 0.125 (multiplicity 24)
Si: 0.000 0.250 0.375 (multiplicity 24)
O: 0.038 0.044 0.651 (multiplicity 96)

Values from the calculation:
The uncorrected energy is -6.641 eV per atom.


Entry 11:
# TaBPt2Se

A relaxed structure of TaBPt2Se (PBE-GGA, Alexandria).

Lattice parameters (Å, degrees): 4.928 4.928 4.349 90.00 90.00 90.00
Space group P4/mmm (No. 123)
Symmetry-distinct sites (fractional):
Ta: 0.000 0.000 0.000 (multiplicity 1)
B: 0.000 0.000 0.500 (multiplicity 1)
Pt: 0.000 0.500 0.000 (multiplicity 2)
Se: 0.500 0.500 0.500 (multiplicity 1)

Values from the calculation:
The uncorrected energy is -5.509 eV per atom.


Entry 12:
# SbAsCI2

A relaxed structure of SbAsCI2 (PBE-GGA, Alexandria).

Lattice parameters (Å, degrees): 5.675 5.675 5.545 90.00 90.00 90.00
Space group P4/mmm (No. 123)
Symmetry-distinct sites (fractional):
Sb: 0.000 0.000 0.000 (multiplicity 1)
As: 0.000 0.000 0.500 (multiplicity 1)
C: 0.500 0.500 0.000 (multiplicity 1)
I: 0.000 0.500 0.500 (multiplicity 2)

Values from the calculation:
The value obtained for the relative energy among the computed polymorphs is 461 meV/atom.